An optimized crystal structure of Tb2Ho2Hg3, computed with PBE-GGA.

a b c (Å): 5.1817 5.1960 8.9527
angles (deg): 90.03 106.65 120.19
Last column: nearest neighbours and their distance in Å.
Element x y z (fractional)
Tb 0.2557 0.1276 0.3818  5 Hg 3.09-3.22
Tb 0.7443 0.8724 0.6182  5 Hg 3.09-3.22
Ho 0.7578 0.3789 0.1353  7 Hg 3.15-3.28
Ho 0.2422 0.6211 0.8647  7 Hg 3.15-3.28
Hg 0.0000 0.0000 0.0000  6 Ho 3.20-3.21, 2 Tb 3.22
Hg 0.4977 0.2485 0.7475  4 Tb 3.09-3.19, 4 Ho 3.15-3.28
Hg 0.5023 0.7515 0.2525  4 Tb 3.09-3.19, 4 Ho 3.15-3.28

Results
Its symmetry is C2/m (12). The formation energy from the elements comes out at -2.23 eV per formula unit. The volume is 197 Å³/cell. For the total magnetic moment, the calculation gives 0.000 μB/atom.

=====

An optimized crystal structure of Ta4AgRu, computed with PBE-GGA.

a b c (Å): 5.3674 5.3674 5.3674
angles (deg): 60.00 60.00 60.00
Last column: nearest neighbours and their distance in Å.
Element x y z (fractional)
Ta 0.6259 0.6259 0.1224  6 Ta 2.67-2.70
Ta 0.6259 0.1224 0.6259  6 Ta 2.67-2.70
Ta 0.6259 0.6259 0.6259  6 Ta 2.67-2.70
Ta 0.1224 0.6259 0.6259  6 Ta 2.67-2.70
Ag 0.2500 0.2500 0.2500  12 Ta 3.15, 4 Ru 3.29
Ru 0.0000 0.0000 0.0000  12 Ta 3.14, 4 Ag 3.29

Results
Its symmetry is F-43m (216). The formation energy from the elements comes out at 2.91 eV per formula unit. The volume is 109 Å³/cell. For the total magnetic moment, the calculation gives 0.000 μB/atom.

=====

Number 1: DOS at the Fermi energy 8.2 states/eV/cell. Number 2: DOS at the Fermi energy 4.7 states/eV/cell.